# 1
Computed, not measured: a relaxed LiCoOs crystal at the PBE-GGA level of DFT.

Cell lengths 3.8339, 3.8339, 3.8339 Å; angles 60.00, 60.00, 60.00 degrees
Atoms (fractional coordinates):
Co 0.0000 0.0000 0.0000
Li 0.2500 0.2500 0.2500
Os 0.7500 0.7500 0.7500

Output
The energy relative to the lowest polymorph listed for this composition is 0.0 meV/atom. The calculated density comes out at 10.67 Mg/m³. As for the crystal system: cubic.

# 2
Computed, not measured: a relaxed LiCoSnOs crystal at the PBE-GGA level of DFT.

Cell lengths 4.2850, 4.2850, 4.2850 Å; angles 60.00, 60.00, 60.00 degrees
Atoms (fractional coordinates):
Co 0.7500 0.7500 0.7500
Li 0.2500 0.2500 0.2500
Os 0.5000 0.5000 0.5000
Sn 0.0000 0.0000 0.0000

Output
The energy relative to the lowest polymorph listed for this composition is 0.0 meV/atom. The calculated density comes out at 11.19 Mg/m³. As for the crystal system: cubic.

# 3
Computed, not measured: a relaxed LiTlCoOs crystal at the PBE-GGA level of DFT.

Cell lengths 4.3467, 4.3467, 4.3467 Å; angles 60.00, 60.00, 60.00 degrees
Atoms (fractional coordinates):
Co 0.7500 0.7500 0.7500
Li 0.2500 0.2500 0.2500
Os 0.5000 0.5000 0.5000
Tl 0.0000 0.0000 0.0000

Output
The energy relative to the lowest polymorph listed for this composition is 0.0 meV/atom. The calculated density comes out at 13.17 Mg/m³. As for the crystal system: cubic.

# 4
Computed, not measured: a relaxed Li2Co4P crystal at the PBE-GGA level of DFT.

Cell lengths 5.6091, 5.6091, 5.6091 Å; angles 95.06, 95.06, 145.45 degrees
Atoms (fractional coordinates):
Co 0.7089 0.5000 0.2089
Co 0.5000 0.7089 0.2089
Co 0.5000 0.2911 0.7911
Co 0.2911 0.5000 0.7911
Li 0.7500 0.2500 0.5000
Li 0.2500 0.7500 0.5000
P 0.0000 0.0000 0.0000

Output
The calculated density comes out at 4.88 Mg/m³. As for the crystal system: tetragonal.

# 5
Computed, not measured: a relaxed Li2Co12P7 crystal at the PBE-GGA level of DFT.

Cell lengths 8.8707, 3.4432, 8.8710 Å; angles 90.00, 119.98, 90.00 degrees
Atoms (fractional coordinates):
Co 0.4392 0.0000 0.0609
Co 0.2361 0.5000 0.1011
Co 0.8989 0.5000 0.1350
Co 0.1554 0.0000 0.2746
Co 0.9391 0.0000 0.3783
Co 0.3842 0.5000 0.4381
Co 0.6218 0.0000 0.5608
Co 0.0539 0.5000 0.6159
Co 0.8650 0.5000 0.7639
Co 0.1191 0.0000 0.8445
Co 0.7254 0.0000 0.8808
Co 0.5619 0.5000 0.9460
Li 0.6667 0.5000 0.3334
Li 0.3333 0.0000 0.6667
P 0.0000 0.0000 0.0000
P 0.7098 0.0000 0.1212
P 0.4114 0.0000 0.2902
P 0.1193 0.5000 0.4109
P 0.8788 0.0000 0.5886
P 0.5892 0.5000 0.7085
P 0.2916 0.5000 0.8807

Output
The calculated density comes out at 6.64 Mg/m³. As for the crystal system: hexagonal.

# 6
Computed, not measured: a relaxed Li2CoP2 crystal at the PBE-GGA level of DFT.

Cell lengths 5.6373, 5.6373, 4.0800 Å; angles 90.00, 90.00, 90.00 degrees
Atoms (fractional coordinates):
Co 0.0000 0.0000 0.0000
Co 0.5000 0.5000 0.0000
Li 0.6762 0.1762 0.5000
Li 0.1762 0.3238 0.5000
Li 0.8238 0.6762 0.5000
Li 0.3238 0.8238 0.5000
P 0.3612 0.1388 0.0000
P 0.8612 0.3612 0.0000
P 0.1388 0.6388 0.0000
P 0.6388 0.8612 0.0000

Output
The calculated density comes out at 3.45 Mg/m³. As for the crystal system: tetragonal.

# 7
Computed, not measured: a relaxed LiCo2P2Pd crystal at the PBE-GGA level of DFT.

Cell lengths 3.5951, 3.5951, 5.8332 Å; angles 90.00, 90.00, 90.00 degrees
Atoms (fractional coordinates):
Co 0.5000 0.0000 0.0031
Co 0.0000 0.5000 0.0031
Li 0.0000 0.0000 0.3585
P 0.5000 0.5000 0.2245
P 0.0000 0.0000 0.7791
Pd 0.5000 0.5000 0.6317

Output
The calculated density comes out at 6.46 Mg/m³. As for the crystal system: tetragonal.

# 8
Computed, not measured: a relaxed LiPrCoP2Pd crystal at the PBE-GGA level of DFT.

Cell lengths 4.0490, 4.0490, 6.6536 Å; angles 90.00, 90.00, 120.00 degrees
Atoms (fractional coordinates):
Co 0.0000 0.0000 0.6384
Li 0.3333 0.6667 0.5063
P 0.0000 0.0000 0.2886
P 0.6667 0.3333 0.7190
Pd 0.6667 0.3333 0.3528
Pr 0.3333 0.6667 0.9950

Output
The calculated density comes out at 6.59 Mg/m³. As for the crystal system: trigonal.

# 9
Computed, not measured: a relaxed Li2PrCoP2 crystal at the PBE-GGA level of DFT.

Cell lengths 4.0794, 4.0794, 6.5009 Å; angles 90.00, 90.00, 120.00 degrees
Atoms (fractional coordinates):
Co 0.0000 0.0000 0.5000
Li 0.3333 0.6667 0.3553
Li 0.6667 0.3333 0.6447
P 0.6667 0.3333 0.2801
P 0.3333 0.6667 0.7199
Pr 0.0000 0.0000 0.0000

Output
The calculated density comes out at 4.89 Mg/m³. As for the crystal system: trigonal.

# 10
Computed, not measured: a relaxed LiCo3Pb5 crystal at the PBE-GGA level of DFT.

Cell lengths 5.4165, 5.4165, 8.0131 Å; angles 90.00, 90.00, 120.00 degrees
Atoms (fractional coordinates):
Co 0.5000 0.0000 0.5000
Co 0.0000 0.5000 0.5000
Co 0.5000 0.5000 0.5000
Li 0.0000 0.0000 0.0000
Pb 0.6667 0.3333 0.2178
Pb 0.3333 0.6667 0.2178
Pb 0.0000 0.0000 0.5000
Pb 0.6667 0.3333 0.7822
Pb 0.3333 0.6667 0.7822

Output
The calculated density comes out at 9.95 Mg/m³. As for the crystal system: hexagonal.

# 11
Computed, not measured: a relaxed LiCoPdPb crystal at the PBE-GGA level of DFT.

Cell lengths 4.4345, 4.4345, 4.4345 Å; angles 60.00, 60.00, 60.00 degrees
Atoms (fractional coordinates):
Co 0.7500 0.7500 0.7500
Li 0.2500 0.2500 0.2500
Pb 0.0000 0.0000 0.0000
Pd 0.5000 0.5000 0.5000

Output
The energy relative to the lowest polymorph listed for this composition is 0.0 meV/atom. The calculated density comes out at 10.22 Mg/m³. As for the crystal system: cubic.

# 12
Computed, not measured: a relaxed LiCoRePb crystal at the PBE-GGA level of DFT.

Cell lengths 4.3835, 4.3835, 4.3835 Å; angles 60.00, 60.00, 60.00 degrees
Atoms (fractional coordinates):
Co 0.7500 0.7500 0.7500
Li 0.2500 0.2500 0.2500
Pb 0.0000 0.0000 0.0000
Re 0.5000 0.5000 0.5000

Output
The energy relative to the lowest polymorph listed for this composition is 0.0 meV/atom. The calculated density comes out at 12.80 Mg/m³. As for the crystal system: cubic.

# 13
Computed, not measured: a relaxed LiCoSiPb crystal at the PBE-GGA level of DFT.

Cell lengths 4.5251, 4.5251, 4.5251 Å; angles 60.00, 60.00, 60.00 degrees
Atoms (fractional coordinates):
Co 0.0000 0.0000 0.0000
Li 0.7500 0.7500 0.7500
Pb 0.5000 0.5000 0.5000
Si 0.2500 0.2500 0.2500

Output
The energy relative to the lowest polymorph listed for this composition is 276.6 meV/atom. The calculated density comes out at 7.63 Mg/m³. As for the crystal system: cubic.

# 14
Computed, not measured: a relaxed LiCoSiPb crystal at the PBE-GGA level of DFT.

Cell lengths 4.4259, 4.4259, 4.4259 Å; angles 60.00, 60.00, 60.00 degrees
Atoms (fractional coordinates):
Co 0.2500 0.2500 0.2500
Li 0.7500 0.7500 0.7500
Pb 0.5000 0.5000 0.5000
Si 0.0000 0.0000 0.0000

Output
The energy relative to the lowest polymorph listed for this composition is 0.0 meV/atom. The calculated density comes out at 8.16 Mg/m³. As for the crystal system: cubic.

# 15
Computed, not measured: a relaxed LiTaCoPb crystal at the PBE-GGA level of DFT.

Cell lengths 4.4300, 4.4300, 4.4300 Å; angles 60.00, 60.00, 60.00 degrees
Atoms (fractional coordinates):
Co 0.7500 0.7500 0.7500
Li 0.2500 0.2500 0.2500
Pb 0.0000 0.0000 0.0000
Ta 0.5000 0.5000 0.5000

Output
The energy relative to the lowest polymorph listed for this composition is 0.0 meV/atom. The calculated density comes out at 12.26 Mg/m³. As for the crystal system: cubic.

# 16
Computed, not measured: a relaxed LiTaCoPb crystal at the PBE-GGA level of DFT.

Cell lengths 4.5500, 4.5500, 4.5500 Å; angles 60.00, 60.00, 60.00 degrees
Atoms (fractional coordinates):
Co 0.7500 0.7500 0.7500
Li 0.5000 0.5000 0.5000
Pb 0.0000 0.0000 0.0000
Ta 0.2500 0.2500 0.2500

Output
The energy relative to the lowest polymorph listed for this composition is 462.3 meV/atom. The calculated density comes out at 11.32 Mg/m³. As for the crystal system: cubic.

# 17
Computed, not measured: a relaxed LiCoTcPb crystal at the PBE-GGA level of DFT.

Cell lengths 4.3940, 4.3940, 4.3940 Å; angles 60.00, 60.00, 60.00 degrees
Atoms (fractional coordinates):
Co 0.7500 0.7500 0.7500
Li 0.2500 0.2500 0.2500
Pb 0.0000 0.0000 0.0000
Tc 0.5000 0.5000 0.5000

Output
The energy relative to the lowest polymorph listed for this composition is 0.0 meV/atom. The calculated density comes out at 10.27 Mg/m³. As for the crystal system: cubic.

# 18
Computed, not measured: a relaxed LiZrCoPb crystal at the PBE-GGA level of DFT.

Cell lengths 4.5055, 4.5055, 4.5055 Å; angles 60.00, 60.00, 60.00 degrees
Atoms (fractional coordinates):
Co 0.7500 0.7500 0.7500
Li 0.2500 0.2500 0.2500
Pb 0.0000 0.0000 0.0000
Zr 0.5000 0.5000 0.5000

Output
The energy relative to the lowest polymorph listed for this composition is 0.0 meV/atom. The calculated density comes out at 9.35 Mg/m³. As for the crystal system: cubic.

# 19
Computed, not measured: a relaxed LiZrCoPb crystal at the PBE-GGA level of DFT.

Cell lengths 4.6866, 4.6866, 4.6866 Å; angles 60.00, 60.00, 60.00 degrees
Atoms (fractional coordinates):
Co 0.0000 0.0000 0.0000
Li 0.7500 0.7500 0.7500
Pb 0.5000 0.5000 0.5000
Zr 0.2500 0.2500 0.2500

Output
The energy relative to the lowest polymorph listed for this composition is 301.4 meV/atom. The calculated density comes out at 8.31 Mg/m³. As for the crystal system: cubic.

# 20
Computed, not measured: a relaxed LiZrCoPb crystal at the PBE-GGA level of DFT.

Cell lengths 4.6139, 4.6139, 4.6139 Å; angles 60.00, 60.00, 60.00 degrees
Atoms (fractional coordinates):
Co 0.7500 0.7500 0.7500
Li 0.5000 0.5000 0.5000
Pb 0.0000 0.0000 0.0000
Zr 0.2500 0.2500 0.2500

Output
The energy relative to the lowest polymorph listed for this composition is 451.3 meV/atom. The calculated density comes out at 8.71 Mg/m³. As for the crystal system: cubic.

| no. | VASP energy (eV per cell) |
| --- | --- |
| 1 | -18.66 |
| 2 | -23.50 |
| 3 | -20.76 |
| 4 | -31.41 |
| 5 | -140.39 |
| 6 | -50.00 |
| 7 | -36.00 |
| 8 | -34.93 |
| 9 | -30.48 |
| 10 | -39.65 |
| 11 | -18.08 |
| 12 | -22.95 |
| 13 | -16.46 |
| 14 | -17.57 |
| 15 | -23.64 |
| 16 | -21.79 |
| 17 | -21.80 |
| 18 | -22.24 |
| 19 | -21.04 |
| 20 | -20.44 |